Material: Ca4IrRu
Method: DFT, GGA-PBEsol
State: optimized geometry

Its volume is 21.9 Å³/atom. As for the formation energy: 1.105 eV/atom. The density of states at the Fermi level is 7.6 states/eV/f.u.

a b c (Å): 8.064 8.064 8.064
angles (deg): 90.00 90.00 90.00
Space group F-43m (No. 216)
One atom of each set of equivalent atoms:
Ca 0.125 0.125 0.125 (multiplicity 16)
Ir 0.000 0.000 0.500 (multiplicity 4)
Ru 0.250 0.250 0.750 (multiplicity 4)